[1]
MgSc2HRh after structural relaxation. Source: Alexandria via LeMat-Bulk, functional PBE-GGA.

Cell lengths 4.5655, 4.5655, 3.7877 Å; angles 90.00, 90.00, 90.00 degrees
Sites, in units of the cell vectors:
Sc (0.0000, 0.5000, 0.0000)
Sc (0.5000, 0.0000, 0.0000)
H (0.0000, 0.0000, 0.0000)
Rh (0.0000, 0.0000, 0.5000)
Mg (0.5000, 0.5000, 0.5000)

Output
VASP energy (eV per cell): -27.2
DOS(E_F) (states/eV/cell): 3.3
Energy above the most stable polymorph in this dataset (eV per atom): 0.0000



[2]
MgSc2HRh after structural relaxation. Source: Alexandria via LeMat-Bulk, functional PBE-GGA.

Cell lengths 4.4315, 4.4315, 3.9239 Å; angles 90.00, 90.00, 90.00 degrees
Sites, in units of the cell vectors:
Sc (0.5000, 0.0000, 0.0000)
Sc (0.0000, 0.5000, 0.0000)
Rh (0.5000, 0.5000, 0.5000)
Mg (0.0000, 0.0000, 0.5000)
H (0.0000, 0.0000, 0.0000)

Output
VASP energy (eV per cell): -27.1
DOS(E_F) (states/eV/cell): 3.6
Energy above the most stable polymorph in this dataset (eV per atom): 0.0304